A plane-wave DFT calculation with PBE+U was carried out for a relaxed structure of NbSnMoO6.

Properties
space-group type = P4_2nm (102)
DFT total energy = -7.65 eV/atom

Lattice parameters (Å, degrees): 4.8598 4.8598 9.6273 90.00 90.00 90.00
Closest atoms and distances in Å follow each position.
Fractional positions:
Nb 0.0000 0.0000 0.0000  6 O 1.99-2.05
Nb 0.5000 0.5000 0.5000  6 O 1.99-2.05
Sn 0.0000 0.0000 0.6633  6 O 2.09
Sn 0.5000 0.5000 0.1633  6 O 2.09
Mo 0.0000 0.0000 0.3307  6 O 2.15-2.19
Mo 0.5000 0.5000 0.8307  6 O 2.15-2.19
O 0.1870 0.1870 0.8349  1 Nb 2.04, 1 Sn 2.09, 1 Mo 2.15
O 0.1961 0.1961 0.1520  1 Nb 1.99, 1 Sn 2.09, 1 Mo 2.19
O 0.2018 0.2018 0.5012  1 Nb 2.05, 1 Sn 2.09, 1 Mo 2.15
O 0.2982 0.7018 0.0012  1 Nb 2.05, 1 Sn 2.09, 1 Mo 2.15
O 0.3039 0.6961 0.6520  1 Nb 1.99, 1 Sn 2.09, 1 Mo 2.19
O 0.3130 0.6870 0.3349  1 Nb 2.04, 1 Sn 2.09, 1 Mo 2.15
O 0.6870 0.3130 0.3349  1 Nb 2.04, 1 Sn 2.09, 1 Mo 2.15
O 0.6961 0.3039 0.6520  1 Nb 1.99, 1 Sn 2.09, 1 Mo 2.19
O 0.7018 0.2982 0.0012  1 Nb 2.05, 1 Sn 2.09, 1 Mo 2.15
O 0.7982 0.7982 0.5012  1 Nb 2.05, 1 Sn 2.09, 1 Mo 2.15
O 0.8039 0.8039 0.1520  1 Nb 1.99, 1 Sn 2.09, 1 Mo 2.19
O 0.8130 0.8130 0.8349  1 Nb 2.04, 1 Sn 2.09, 1 Mo 2.15